1.
Here is Ti4Pd5Pt2 after structural relaxation from the Alexandria database. Energies are from PBE-GGA.

```
Ti4Pd5Pt2
1.0
9.302 -1.397 0.000
9.302 1.397 0.000
-0.552 0.000 6.930
Ti Pd Pt
4 5 2
Direct
0.056 0.056 0.343
0.292 0.292 0.206
0.708 0.708 0.794
0.944 0.944 0.657
0.153 0.153 0.077
0.188 0.188 0.461
0.500 0.500 0.000
0.812 0.812 0.539
0.847 0.847 0.923
0.079 0.079 0.713
0.921 0.921 0.287
```

ΔE_f, eV/atom: -0.410
Space group: C2/m (12)
Spin magnetization, μB/cell: 0.001

---

2.
Here is Ti3Pd2Pt after structural relaxation from the Alexandria database. Energies are from PBE-GGA.

```
Ti3Pd2Pt
1.0
2.844 0.000 0.000
0.000 2.844 0.000
0.000 0.000 11.562
Ti Pd Pt
3 2 1
Direct
0.000 0.000 0.000
0.000 0.000 0.334
0.000 0.000 0.666
0.500 0.500 0.166
0.500 0.500 0.834
0.500 0.500 0.500
```

ΔE_f, eV/atom: -0.656
Space group: P4/mmm (123)
Spin magnetization, μB/cell: 0.814

---

3.
Here is TiPd2Pt after structural relaxation from the Alexandria database. Energies are from PBE-GGA.

```
TiPd2Pt
1.0
2.775 -4.859 0.000
2.775 4.859 0.000
0.000 0.000 4.514
Ti Pd Pt
2 4 2
Direct
0.171 0.829 0.750
0.829 0.171 0.250
0.167 0.330 0.750
0.330 0.167 0.250
0.670 0.833 0.750
0.833 0.670 0.250
0.330 0.670 0.250
0.670 0.330 0.750
```

ΔE_f, eV/atom: -0.723
Space group: Cmcm (63)
Spin magnetization, μB/cell: 0.000

---

4.
Here is Ti3PdPt2 after structural relaxation from the Alexandria database. Energies are from PBE-GGA.

```
Ti3PdPt2
1.0
-1.376 2.412 7.569
1.376 -2.412 7.569
1.376 2.412 -7.569
Ti Pd Pt
3 1 2
Direct
0.000 0.000 0.000
0.320 0.820 0.500
0.680 0.180 0.500
0.500 0.000 0.500
0.152 0.652 0.500
0.848 0.348 0.500
```

ΔE_f, eV/atom: -0.478
Space group: Immm (71)
Spin magnetization, μB/cell: 0.001

---

5.
Here is Ti2Pd3Pt3 after structural relaxation from the Alexandria database. Energies are from PBE-GGA.

```
Ti2Pd3Pt3
1.0
3.693 2.132 2.692
-3.693 2.132 2.692
0.000 -4.264 2.692
Ti Pd Pt
2 3 3
Direct
0.226 0.226 0.226
0.774 0.774 0.774
0.221 0.779 0.500
0.500 0.221 0.779
0.779 0.500 0.221
0.000 0.296 0.704
0.296 0.704 0.000
0.704 0.000 0.296
```

ΔE_f, eV/atom: -0.615
Space group: R32 (155)
Spin magnetization, μB/cell: 0.000

---

6.
Here is Ti3PdPt4 after structural relaxation from the Alexandria database. Energies are from PBE-GGA.

```
Ti3PdPt4
1.0
9.145 0.000 0.000
0.000 5.602 0.000
0.000 0.000 4.832
Ti Pd Pt
6 2 8
Direct
0.000 0.000 0.000
0.250 0.000 0.376
0.250 0.500 0.337
0.500 0.000 0.000
0.750 0.000 0.624
0.750 0.500 0.663
0.000 0.500 0.000
0.500 0.500 0.000
0.000 0.249 0.500
0.000 0.751 0.500
0.250 0.248 0.859
0.250 0.752 0.859
0.500 0.249 0.500
0.500 0.751 0.500
0.750 0.248 0.141
0.750 0.752 0.141
```

ΔE_f, eV/atom: -0.847
Space group: Pmma (51)
Spin magnetization, μB/cell: 1.362

---

7.
Here is Ti3Pd2Pt2 after structural relaxation from the Alexandria database. Energies are from PBE-GGA.

```
Ti3Pd2Pt2
1.0
4.400 -1.969 0.000
4.400 1.969 0.000
-1.201 0.000 6.319
Ti Pd Pt
3 2 2
Direct
0.000 0.000 0.000
0.410 0.410 0.296
0.590 0.590 0.704
0.294 0.294 0.870
0.706 0.706 0.130
0.133 0.133 0.416
0.867 0.867 0.584
```

ΔE_f, eV/atom: -0.740
Space group: C2/m (12)
Spin magnetization, μB/cell: 1.335

---

8.
Here is Ti2Pd5Pt5 after structural relaxation from the Alexandria database. Energies are from PBE-GGA.

```
Ti2Pd5Pt5
1.0
5.908 -1.954 0.000
5.908 1.954 0.000
-3.874 0.000 7.974
Ti Pd Pt
2 5 5
Direct
0.085 0.085 0.256
0.915 0.915 0.744
0.000 0.000 0.500
0.165 0.165 0.000
0.256 0.256 0.753
0.744 0.744 0.247
0.835 0.835 0.000
0.333 0.333 0.499
0.422 0.422 0.248
0.500 0.500 0.000
0.578 0.578 0.752
0.667 0.667 0.501
```

ΔE_f, eV/atom: -0.571
Space group: C2/m (12)
Spin magnetization, μB/cell: 0.000

---

9.
Here is Ti2Pd2Pt5 after structural relaxation from the Alexandria database. Energies are from PBE-GGA.

```
Ti2Pd2Pt5
1.0
4.490 -1.930 0.000
4.490 1.930 0.000
-2.722 0.000 8.011
Ti Pd Pt
2 2 5
Direct
0.002 0.002 0.326
0.998 0.998 0.674
0.335 0.335 0.778
0.665 0.665 0.222
0.000 0.000 0.000
0.339 0.339 0.446
0.340 0.340 0.120
0.660 0.660 0.880
0.661 0.661 0.554
```

ΔE_f, eV/atom: -0.674
Space group: C2/m (12)
Spin magnetization, μB/cell: 0.000

---

10.
Here is Ti9Pd4Pt11 after structural relaxation from the Alexandria database. Energies are from PBE-GGA.

```
Ti9Pd4Pt11
1.0
7.016 -9.485 0.000
7.016 9.485 0.000
0.000 0.000 2.839
Ti Pd Pt
9 4 11
Direct
0.000 0.000 0.000
0.088 0.661 0.000
0.297 0.490 0.000
0.339 0.912 0.000
0.490 0.297 0.000
0.510 0.703 0.000
0.661 0.088 0.000
0.703 0.510 0.000
0.912 0.339 0.000
0.083 0.236 0.000
0.236 0.083 0.000
0.764 0.917 0.000
0.917 0.764 0.000
0.104 0.469 0.500
0.133 0.867 0.500
0.299 0.701 0.500
0.300 0.300 0.500
0.469 0.104 0.500
0.500 0.500 0.500
0.531 0.896 0.500
0.700 0.700 0.500
0.701 0.299 0.500
0.867 0.133 0.500
0.896 0.531 0.500
```

ΔE_f, eV/atom: -0.800
Space group: Cmmm (65)
Spin magnetization, μB/cell: 0.007

---

11.
Here is Ti5Pd4Pt after structural relaxation from the Alexandria database. Energies are from PBE-GGA.

```
Ti5Pd4Pt
1.0
2.844 0.000 0.000
0.000 2.844 0.000
0.000 0.000 19.340
Ti Pd Pt
5 4 1
Direct
0.000 0.000 0.000
0.000 0.000 0.200
0.000 0.000 0.401
0.000 0.000 0.599
0.000 0.000 0.800
0.500 0.500 0.100
0.500 0.500 0.300
0.500 0.500 0.700
0.500 0.500 0.900
0.500 0.500 0.500
```

ΔE_f, eV/atom: -0.594
Space group: P4/mmm (123)
Spin magnetization, μB/cell: 2.687

---

12.
Here is Ti4Pd5Pt after structural relaxation from the Alexandria database. Energies are from PBE-GGA.

```
Ti4Pd5Pt
1.0
7.241 -1.443 0.000
7.241 1.443 0.000
-2.550 0.000 7.515
Ti Pd Pt
4 5 1
Direct
0.093 0.093 0.311
0.303 0.303 0.896
0.697 0.697 0.104
0.907 0.907 0.689
0.108 0.108 0.810
0.292 0.292 0.393
0.500 0.500 0.500
0.708 0.708 0.607
0.892 0.892 0.190
0.500 0.500 0.000
```

ΔE_f, eV/atom: -0.477
Space group: C2/m (12)
Spin magnetization, μB/cell: 0.001

---

| no. | V (Å³/atom) | raw total energy (eV for the cell shown) |
| --- | --- | --- |
| 1 | 16.37 | -74.1 |
| 2 | 15.59 | -44.0 |
| 3 | 15.22 | -54.4 |
| 4 | 16.75 | -43.8 |
| 5 | 15.90 | -54.4 |
| 6 | 15.47 | -119.6 |
| 7 | 15.64 | -51.3 |
| 8 | 15.34 | -78.8 |
| 9 | 15.43 | -62.4 |
| 10 | 15.74 | -177.5 |
| 11 | 15.64 | -72.2 |
| 12 | 15.71 | -68.4 |